Density functional theory data (PBE-GGA) for an optimized crystal structure of V2PS.

Geometry as POSCAR:
```
V2PS
1.0
3.209 0.000 0.000
1.604 2.779 0.000
1.604 0.926 6.107
V P S
2 1 1
direct
0.084 0.084 0.747
0.248 0.248 0.256
0.667 0.667 0.000
0.501 0.501 0.496
```

Properties
polymorph energy (0 for the lowest one) = 0.00 eV per formula unit
formation energy from raw total energies = -657.2 meV per atom
crystal system = trigonal
raw total energy = -7.601 eV/atom
space-group type = R3m

Density functional theory data (PBE-GGA) for an optimized crystal structure of NbCuRu3.

Geometry as POSCAR:
```
NbCuRu3
1.0
4.703 0.000 0.000
0.000 4.703 0.000
0.000 0.000 4.703
Ru Nb Cu
3 1 1
direct
0.000 0.500 0.000
0.000 0.000 0.500
0.500 0.000 0.000
0.000 0.000 0.000
0.500 0.500 0.500
```

Properties
polymorph energy (0 for the lowest one) = 2.01 eV per formula unit
crystal system = cubic
raw total energy = -6.690 eV/atom
space-group type = Pm-3m

Density functional theory data (PBE-GGA) for an optimized crystal structure of Pm3Te2N2.

Geometry as POSCAR:
```
Pm3Te2N2
1.0
-2.507 7.364 0.191
-1.659 -0.377 -7.248
-6.534 0.731 1.457
Pm Te N
6 4 4
direct
0.500 0.500 0.000
0.000 0.000 0.000
0.794 0.136 0.594
0.706 0.636 0.406
0.294 0.364 0.594
0.206 0.864 0.406
0.920 0.626 0.825
0.420 0.874 0.825
0.580 0.126 0.175
0.080 0.374 0.175
0.574 0.391 0.650
0.926 0.891 0.350
0.074 0.109 0.650
0.426 0.609 0.350
```

Properties
polymorph energy (0 for the lowest one) = 0.35 eV per formula unit
formation energy from raw total energies = -1262.2 meV per atom
crystal system = monoclinic
raw total energy = -6.574 eV/atom
space-group type = P2_1/c